Record 1
# Ga2Co2Pt PBE-GGA optimized geometry
# * total DFT energy (no corrections): -5.46 eV/atom
# * density: 11.50 g cm⁻³
# * distance to the lowest polymorph of the same formula: 0.0 meV per atom
# * magnetic moment: 0.00 μB/atom
# * V: 13.07 A^3/atom
# * density of states at the Fermi level: 4.32 states/eV/f.u.
data_Ga2Co2Pt
_chemical_formula_sum 'Ga4 Co4 Pt2'
_symmetry_space_group_name_H-M 'P 4/m b m'
_symmetry_Int_Tables_number 127
_symmetry_space_group_name_Hall '-P 4 2ab'
_cell_length_a 6.848
_cell_length_b 6.848
_cell_length_c 2.787
_cell_angle_alpha 90.00
_cell_angle_beta 90.00
_cell_angle_gamma 90.00
loop_
_atom_site_label
_atom_site_type_symbol
_atom_site_fract_x
_atom_site_fract_y
_atom_site_fract_z
Ga1 Ga 0.144 0.356 0.000
Co1 Co 0.152 0.652 0.500
Pt1 Pt 0.000 0.000 0.000

Record 2
# GaCoPt14 PBE-GGA optimized geometry
# * total DFT energy (no corrections): -6.01 eV/atom
# * density: 19.25 g cm⁻³
# * magnetic moment: 0.24 μB/atom
# * V: 15.42 A^3/atom
# * density of states at the Fermi level: 25.04 states/eV/f.u.
data_GaCoPt14
_chemical_formula_sum 'Ga2 Co2 Pt28'
_symmetry_space_group_name_H-M 'A m m 2'
_symmetry_Int_Tables_number 38
_cell_length_a 9.196
_cell_length_b 5.572
_cell_length_c 9.630
_cell_angle_alpha 90.00
_cell_angle_beta 90.00
_cell_angle_gamma 90.00
loop_
_symmetry_equiv_pos_as_xyz
'x,y,z'
'-x,-y,z'
'-x,y,z'
'x,-y,z'
'x,y+1/2,z+1/2'
'-x,-y+1/2,z+1/2'
'-x,y+1/2,z+1/2'
'x,-y+1/2,z+1/2'
loop_
_atom_site_label
_atom_site_type_symbol
_atom_site_fract_x
_atom_site_fract_y
_atom_site_fract_z
Ga1 Ga 0.000 0.000 0.000
Co1 Co 0.000 0.000 0.496
Pt1 Pt 0.000 0.249 0.754
Pt2 Pt 0.237 0.250 0.076
Pt3 Pt 0.246 0.000 0.330
Pt4 Pt 0.248 0.000 0.828
Pt5 Pt 0.500 0.000 0.157
Pt6 Pt 0.500 0.000 0.656
Pt7 Pt 0.500 0.250 0.408

Record 3
# Ga2CoPt PBE-GGA optimized geometry
# * total DFT energy (no corrections): -5.07 eV/atom
# * density: 10.74 g cm⁻³
# * magnetic moment: 0.00 μB/atom
# * V: 15.21 A^3/atom
# * density of states at the Fermi level: 2.41 states/eV/f.u.
data_Ga2CoPt
_chemical_formula_sum 'Ga6 Co3 Pt3'
_symmetry_space_group_name_H-M 'R 3 m'
_symmetry_Int_Tables_number 160
_symmetry_space_group_name_Hall 'R 3 -2"'
_cell_length_a 3.8224
_cell_length_b 3.8224
_cell_length_c 14.4207
_cell_angle_alpha 90.00
_cell_angle_beta 90.00
_cell_angle_gamma 120.00
loop_
_atom_site_label
_atom_site_type_symbol
_atom_site_fract_x
_atom_site_fract_y
_atom_site_fract_z
Ga1 Ga 0.0000 0.0000 0.0000
Ga2 Ga 0.0000 0.0000 0.1919
Co1 Co 0.0000 0.0000 0.6076
Pt1 Pt 0.0000 0.0000 0.4238

Record 4
# Ga2CoPt PBE-GGA optimized geometry
# * total DFT energy (no corrections): -4.84 eV/atom
# * density: 10.46 g cm⁻³
# * magnetic moment: 0.00 μB/atom
# * V: 15.62 A^3/atom
# * density of states at the Fermi level: 4.06 states/eV/f.u.
data_Ga2CoPt
_chemical_formula_sum 'Ga8 Co4 Pt4'
_symmetry_space_group_name_H-M 'I -4 2 d'
_symmetry_Int_Tables_number 122
_symmetry_space_group_name_Hall 'I -4 2bw'
_cell_length_a 3.862
_cell_length_b 3.862
_cell_length_c 16.755
_cell_angle_alpha 90.00
_cell_angle_beta 90.00
_cell_angle_gamma 90.00
loop_
_atom_site_label
_atom_site_type_symbol
_atom_site_fract_x
_atom_site_fract_y
_atom_site_fract_z
Ga1 Ga 0.229 0.250 0.125
Co1 Co 0.000 0.000 0.000
Pt1 Pt 0.000 0.000 0.500

Record 5
# Ga8CoPt2 PBE-GGA optimized geometry
# * total DFT energy (no corrections): -4.26 eV/atom
# * density: 8.68 g cm⁻³
# * magnetic moment: 0.00 μB/atom
# * V: 17.51 A^3/atom
# * density of states at the Fermi level: 3.73 states/eV/f.u.
data_Ga8CoPt2
_chemical_formula_sum 'Ga8 Co1 Pt2'
_symmetry_space_group_name_H-M 'P -1'
_symmetry_Int_Tables_number 2
_cell_length_a 4.709
_cell_length_b 6.564
_cell_length_c 6.738
_cell_angle_alpha 80.43
_cell_angle_beta 85.46
_cell_angle_gamma 69.73
loop_
_symmetry_equiv_pos_as_xyz
'x,y,z'
'-x,-y,-z'
loop_
_atom_site_label
_atom_site_type_symbol
_atom_site_fract_x
_atom_site_fract_y
_atom_site_fract_z
Ga1 Ga 0.022 0.091 0.161
Ga2 Ga 0.202 0.650 0.424
Ga3 Ga 0.301 0.407 0.931
Ga4 Ga 0.363 0.131 0.647
Co1 Co 0.500 0.000 0.000
Pt1 Pt 0.487 0.706 0.708

Record 6
# GaCo3Pt PBE-GGA optimized geometry
# * total DFT energy (no corrections): -5.05 eV/atom
# * density: 9.43 g cm⁻³
# * distance to the lowest polymorph of the same formula: 0.0 meV per atom
# * magnetic moment: 0.89 μB/atom
# * V: 15.55 A^3/atom
# * density of states at the Fermi level: 7.88 states/eV/f.u.
data_GaCo3Pt
_chemical_formula_sum 'Ga1 Co3 Pt1'
_symmetry_space_group_name_H-M 'P m -3 m'
_symmetry_Int_Tables_number 221
_symmetry_space_group_name_Hall '-P 4 2 3'
_cell_length_a 4.268
_cell_length_b 4.268
_cell_length_c 4.268
_cell_angle_alpha 90.00
_cell_angle_beta 90.00
_cell_angle_gamma 90.00
loop_
_atom_site_label
_atom_site_type_symbol
_atom_site_fract_x
_atom_site_fract_y
_atom_site_fract_z
Ga1 Ga 0.000 0.000 0.000
Co1 Co 0.000 0.000 0.500
Pt1 Pt 0.500 0.500 0.500

Record 7
# Ga2Co2Pt PBE-GGA optimized geometry
# * total DFT energy (no corrections): -5.46 eV/atom
# * density: 11.43 g cm⁻³
# * distance to the lowest polymorph of the same formula: 4.3 meV per atom
# * magnetic moment: 0.19 μB/atom
# * V: 13.14 A^3/atom
# * density of states at the Fermi level: 7.06 states/eV/f.u.
data_Ga2Co2Pt
_chemical_formula_sum 'Ga4 Co4 Pt2'
_symmetry_space_group_name_H-M 'P 4/m b m'
_symmetry_Int_Tables_number 127
_symmetry_space_group_name_Hall '-P 4 2ab'
_cell_length_a 6.894
_cell_length_b 6.894
_cell_length_c 2.766
_cell_angle_alpha 90.00
_cell_angle_beta 90.00
_cell_angle_gamma 90.00
loop_
_atom_site_label
_atom_site_type_symbol
_atom_site_fract_x
_atom_site_fract_y
_atom_site_fract_z
Ga1 Ga 0.175 0.325 0.000
Co1 Co 0.122 0.622 0.500
Pt1 Pt 0.000 0.000 0.500

Record 8
# Ga2CoPt3 PBE-GGA optimized geometry
# * total DFT energy (no corrections): -5.55 eV/atom
# * density: 14.26 g cm⁻³
# * magnetic moment: 0.30 μB/atom
# * V: 15.21 A^3/atom
# * density of states at the Fermi level: 4.44 states/eV/f.u.
data_Ga2CoPt3
_chemical_formula_sum 'Ga8 Co4 Pt12'
_symmetry_space_group_name_H-M 'I b a m'
_symmetry_Int_Tables_number 72
_symmetry_space_group_name_Hall '-I 2 2c'
_cell_length_a 5.312
_cell_length_b 12.976
_cell_length_c 5.295
_cell_angle_alpha 90.00
_cell_angle_beta 90.00
_cell_angle_gamma 90.00
loop_
_atom_site_label
_atom_site_type_symbol
_atom_site_fract_x
_atom_site_fract_y
_atom_site_fract_z
Ga1 Ga 0.232 0.138 0.000
Co1 Co 0.000 0.500 0.250
Pt1 Pt 0.000 0.000 0.250
Pt2 Pt 0.211 0.330 0.000

Record 9
# Ga8Co3Pt2 PBE-GGA optimized geometry
# * total DFT energy (no corrections): -4.83 eV/atom
# * density: 9.35 g cm⁻³
# * magnetic moment: 0.00 μB/atom
# * V: 15.37 A^3/atom
# * density of states at the Fermi level: 3.34 states/eV/f.u.
data_Ga8Co3Pt2
_chemical_formula_sum 'Ga8 Co3 Pt2'
_symmetry_space_group_name_H-M 'P 1 2/m 1'
_symmetry_Int_Tables_number 10
_cell_length_a 7.231
_cell_length_b 4.100
_cell_length_c 7.241
_cell_angle_alpha 90.00
_cell_angle_beta 111.42
_cell_angle_gamma 90.00
loop_
_symmetry_equiv_pos_as_xyz
'x,y,z'
'-x,-y,-z'
'-x,y,-z'
'x,-y,z'
loop_
_atom_site_label
_atom_site_type_symbol
_atom_site_fract_x
_atom_site_fract_y
_atom_site_fract_z
Ga1 Ga 0.112 0.000 0.389
Ga2 Ga 0.124 0.500 0.855
Ga3 Ga 0.354 0.500 0.625
Ga4 Ga 0.378 0.000 0.122
Co1 Co 0.259 0.000 0.760
Co2 Co 0.500 0.500 0.000
Pt1 Pt 0.253 0.500 0.248

Record 10
# Pu2Ga4CoPt3 PBE-GGA optimized geometry
# * total DFT energy (no corrections): -7.23 eV/atom
# * density: 12.68 g cm⁻³
# * magnetic moment: 1.11 μB/atom
# * V: 18.48 A^3/atom
# * density of states at the Fermi level: 29.18 states/eV/f.u.
data_Pu2Ga4CoPt3
_chemical_formula_sum 'Pu2 Ga4 Co1 Pt3'
_symmetry_space_group_name_H-M 'P -4 m 2'
_symmetry_Int_Tables_number 115
_cell_length_a 4.162
_cell_length_b 4.162
_cell_length_c 10.667
_cell_angle_alpha 90.00
_cell_angle_beta 90.00
_cell_angle_gamma 90.00
loop_
_symmetry_equiv_pos_as_xyz
'x,y,z'
'y,-x,-z'
'-x,-y,z'
'-y,x,-z'
'-x,y,z'
'-y,-x,-z'
'x,-y,z'
'y,x,-z'
loop_
_atom_site_label
_atom_site_type_symbol
_atom_site_fract_x
_atom_site_fract_y
_atom_site_fract_z
Pu1 Pu 0.000 0.500 0.242
Ga1 Ga 0.000 0.000 0.500
Ga2 Ga 0.000 0.500 0.876
Ga3 Ga 0.500 0.500 0.500
Co1 Co 0.500 0.500 0.000
Pt1 Pt 0.000 0.000 0.000
Pt2 Pt 0.000 0.500 0.641